# 1
VASP calculation (PBE) on an optimized crystal structure of NdBH2O4.

The structure in POSCAR format:
```
NdBH2O4
1.0
-2.0063 2.7867 3.0932
2.0063 -2.7867 3.0932
2.0063 2.7867 -3.0932
Nd B H O
1 1 2 4
direct
0.0000 0.0000 0.0000
0.5000 0.5000 0.0000
0.3535 0.8535 0.5000
0.6465 0.1465 0.5000
0.2234 0.1151 0.6297
0.4854 0.5937 0.3703
0.5146 0.8849 0.1083
0.7766 0.4063 0.8917
```



# 2
VASP calculation (PBE) on an optimized crystal structure of Ni8B2H.

The structure in POSCAR format:
```
Ni8B2H
1.0
7.7335 -1.3080 0.0000
7.7335 1.3080 0.0000
-0.0652 0.0000 4.9801
Ni B H
8 2 1
direct
0.0031 0.0031 0.2523
0.2350 0.2350 0.7402
0.3803 0.3803 0.0028
0.3860 0.3860 0.4877
0.6140 0.6140 0.5123
0.6197 0.6197 0.9972
0.7650 0.7650 0.2598
0.9969 0.9969 0.7477
0.1670 0.1670 0.2650
0.8330 0.8330 0.7350
0.5000 0.5000 0.0000
```

Energy above the lowest structure with this stoichiometry = 12.5 kJ/mol of formula units



# 3
VASP calculation (PBE) on an optimized crystal structure of Ni4BH2.

The structure in POSCAR format:
```
Ni4BH2
1.0
-1.9010 1.9010 4.1341
1.9010 -1.9010 4.1341
1.9010 1.9010 -4.1341
Ni B H
4 1 2
direct
0.0000 0.5000 0.5000
0.2325 0.2325 0.0000
0.5000 0.0000 0.5000
0.7675 0.7675 0.0000
0.0000 0.0000 0.0000
0.4211 0.4211 0.0000
0.5789 0.5789 0.0000
```

Energy above the lowest structure with this stoichiometry = 239.1 kJ/mol of formula units



# 4
VASP calculation (PBE) on an optimized crystal structure of NiB2H.

The structure in POSCAR format:
```
NiB2H
1.0
-1.6295 1.6295 5.4403
1.6295 -1.6295 5.4403
1.6295 1.6295 -5.4403
Ni B H
2 4 2
direct
0.3750 0.6250 0.7500
0.6250 0.3750 0.2500
0.0000 0.0000 0.0000
0.0000 0.0000 0.5000
0.0000 0.5000 0.0000
0.5000 0.0000 0.5000
0.1250 0.8750 0.2500
0.8750 0.1250 0.7500
```

Energy above the lowest structure with this stoichiometry = 0.0 kJ/mol of formula units



# 5
VASP calculation (PBE) on an optimized crystal structure of Ni8B2H.

The structure in POSCAR format:
```
Ni8B2H
1.0
6.2205 -1.3267 0.0000
6.2205 1.3267 0.0000
-0.7176 0.0000 6.0578
Ni B H
8 2 1
direct
0.0123 0.0123 0.2054
0.2103 0.2103 0.3303
0.3434 0.3434 0.0149
0.4067 0.4067 0.4498
0.5933 0.5933 0.5502
0.6566 0.6566 0.9851
0.7897 0.7897 0.6697
0.9877 0.9877 0.7946
0.1787 0.1787 0.7458
0.8213 0.8213 0.2542
0.5000 0.5000 0.0000
```

Energy above the lowest structure with this stoichiometry = 0.0 kJ/mol of formula units



# 6
VASP calculation (PBE) on an optimized crystal structure of Ni3BH.

The structure in POSCAR format:
```
Ni3BH
1.0
5.3694 0.0000 0.0000
0.0000 2.8903 0.0000
0.0000 0.0000 11.0270
Ni B H
12 4 4
direct
0.0160 0.2500 0.0980
0.1328 0.7500 0.4363
0.1895 0.2500 0.7273
0.3105 0.7500 0.2273
0.3672 0.2500 0.9363
0.4840 0.7500 0.5980
0.5160 0.2500 0.4020
0.6328 0.7500 0.0637
0.6895 0.2500 0.7727
0.8105 0.7500 0.2727
0.8672 0.2500 0.5637
0.9840 0.7500 0.9020
0.2465 0.2500 0.5453
0.2535 0.7500 0.0453
0.7465 0.2500 0.9547
0.7535 0.7500 0.4547
0.0149 0.7500 0.7513
0.4851 0.2500 0.2513
0.5149 0.7500 0.7487
0.9851 0.2500 0.2487
```

Energy above the lowest structure with this stoichiometry = 16.6 kJ/mol of formula units



# 7
VASP calculation (PBE) on an optimized crystal structure of NiB3H.

The structure in POSCAR format:
```
NiB3H
1.0
3.1575 0.0000 0.0000
0.0000 3.1575 0.0000
0.0000 0.0000 3.1575
Ni B H
1 3 1
direct
0.0000 0.0000 0.0000
0.0000 0.5000 0.5000
0.5000 0.0000 0.5000
0.5000 0.5000 0.0000
0.5000 0.5000 0.5000
```

Energy above the lowest structure with this stoichiometry = 0.0 kJ/mol of formula units



# 8
VASP calculation (PBE) on an optimized crystal structure of NiBH3.

The structure in POSCAR format:
```
NiBH3
1.0
3.2229 0.0000 0.0000
0.0000 3.2229 0.0000
0.0000 0.0000 3.2229
Ni B H
1 1 3
direct
0.0000 0.0000 0.0000
0.5000 0.5000 0.5000
0.0000 0.0000 0.5000
0.0000 0.5000 0.0000
0.5000 0.0000 0.0000
```

Energy above the lowest structure with this stoichiometry = 49.1 kJ/mol of formula units



# 9
VASP calculation (PBE) on an optimized crystal structure of NiB3H.

The structure in POSCAR format:
```
NiB3H
1.0
3.7287 0.0000 0.0000
0.0000 3.7287 0.0000
0.0000 0.0000 3.7287
Ni B H
1 3 1
direct
0.0000 0.0000 0.0000
0.0000 0.0000 0.5000
0.0000 0.5000 0.0000
0.5000 0.0000 0.0000
0.5000 0.5000 0.5000
```

Energy above the lowest structure with this stoichiometry = 89.8 kJ/mol of formula units



# 10
VASP calculation (PBE) on an optimized crystal structure of Ni2B2H.

The structure in POSCAR format:
```
Ni2B2H
1.0
5.7333 0.0000 0.0000
0.0000 5.7333 0.0000
0.0000 0.0000 2.3997
Ni B H
4 4 2
direct
0.1929 0.3071 0.0000
0.3071 0.8071 0.0000
0.6929 0.1929 0.0000
0.8071 0.6929 0.0000
0.1049 0.6049 0.5000
0.3951 0.1049 0.5000
0.6049 0.8951 0.5000
0.8951 0.3951 0.5000
0.0000 0.0000 0.5000
0.5000 0.5000 0.5000
```

Energy above the lowest structure with this stoichiometry = 0.0 kJ/mol of formula units



# 11
VASP calculation (PBE) on an optimized crystal structure of Ni4BH2.

The structure in POSCAR format:
```
Ni4BH2
1.0
1.3363 -4.3126 0.0000
1.3363 4.3126 0.0000
0.0000 0.0000 9.2063
Ni B H
8 2 4
direct
0.0000 0.0000 0.0000
0.0000 0.0000 0.5000
0.2773 0.7227 0.6177
0.2773 0.7227 0.8823
0.4439 0.5561 0.2500
0.5561 0.4439 0.7500
0.7227 0.2773 0.1177
0.7227 0.2773 0.3823
0.1163 0.8837 0.2500
0.8837 0.1163 0.7500
0.3710 0.6290 0.0563
0.3710 0.6290 0.4437
0.6290 0.3710 0.5563
0.6290 0.3710 0.9437
```

Energy above the lowest structure with this stoichiometry = 0.0 kJ/mol of formula units



# 12
VASP calculation (PBE) on an optimized crystal structure of Ni3BH.

The structure in POSCAR format:
```
Ni3BH
1.0
3.4400 0.0000 0.0000
0.0000 3.4400 0.0000
0.0000 0.0000 3.4400
Ni B H
3 1 1
direct
0.0000 0.0000 0.5000
0.0000 0.5000 0.0000
0.5000 0.0000 0.0000
0.5000 0.5000 0.5000
0.0000 0.0000 0.0000
```

Energy above the lowest structure with this stoichiometry = 120.3 kJ/mol of formula units



# 13
VASP calculation (PBE) on an optimized crystal structure of NiBH3.

The structure in POSCAR format:
```
NiBH3
1.0
3.0277 0.0000 0.0000
0.0000 3.0277 0.0000
0.0000 0.0000 3.0277
Ni B H
1 1 3
direct
0.0000 0.0000 0.0000
0.5000 0.5000 0.5000
0.0000 0.5000 0.5000
0.5000 0.0000 0.5000
0.5000 0.5000 0.0000
```

Energy above the lowest structure with this stoichiometry = 0.0 kJ/mol of formula units



# 14
VASP calculation (PBE) on an optimized crystal structure of Ni3BH2.

The structure in POSCAR format:
```
Ni3BH2
1.0
2.3776 1.3727 4.5004
-2.3776 1.3727 4.5004
0.0000 -2.7455 4.5004
Ni B H
6 2 4
direct
0.0700 0.7500 0.4300
0.2500 0.5700 0.9300
0.4300 0.0700 0.7500
0.5700 0.9300 0.2500
0.7500 0.4300 0.0700
0.9300 0.2500 0.5700
0.0000 0.0000 0.0000
0.5000 0.5000 0.5000
0.1750 0.1750 0.1750
0.3250 0.3250 0.3250
0.6750 0.6750 0.6750
0.8250 0.8250 0.8250
```



# 15
VASP calculation (PBE) on an optimized crystal structure of Ni2B2H.

The structure in POSCAR format:
```
Ni2B2H
1.0
-1.8088 1.8088 3.3839
1.8088 -1.8088 3.3839
1.8088 1.8088 -3.3839
Ni B H
2 2 1
direct
0.2500 0.7500 0.5000
0.7500 0.2500 0.5000
0.1221 0.1221 0.0000
0.8779 0.8779 0.0000
0.5000 0.5000 0.0000
```

Energy above the lowest structure with this stoichiometry = 87.7 kJ/mol of formula units



# 16
VASP calculation (PBE) on an optimized crystal structure of Ni5BH.

The structure in POSCAR format:
```
Ni5BH
1.0
2.8582 -3.9491 0.0000
2.8582 3.9491 0.0000
-0.1639 0.0000 5.7440
Ni B H
10 2 2
direct
0.0457 0.3208 0.6448
0.1480 0.8520 0.7500
0.2617 0.5263 0.0604
0.3208 0.0457 0.1448
0.4737 0.7383 0.4396
0.5263 0.2617 0.5604
0.6792 0.9543 0.8552
0.7383 0.4737 0.9396
0.8520 0.1480 0.2500
0.9543 0.6792 0.3552
0.4275 0.5725 0.7500
0.5725 0.4275 0.2500
0.0000 0.0000 0.0000
0.0000 0.0000 0.5000
```



# 17
VASP calculation (PBE) on an optimized crystal structure of NiB2H.

The structure in POSCAR format:
```
NiB2H
1.0
0.0000 2.3767 2.3767
2.3767 0.0000 2.3767
2.3767 2.3767 0.0000
Ni B H
1 2 1
direct
0.0000 0.0000 0.0000
0.2500 0.2500 0.2500
0.7500 0.7500 0.7500
0.5000 0.5000 0.5000
```

Energy above the lowest structure with this stoichiometry = 157.7 kJ/mol of formula units



# 18
VASP calculation (PBE) on an optimized crystal structure of Ni3BH.

The structure in POSCAR format:
```
Ni3BH
1.0
4.5855 -3.7248 0.0000
4.5855 3.7248 0.0000
-1.3112 0.0000 4.7628
Ni B H
12 4 4
direct
0.0260 0.6955 0.4265
0.0296 0.6986 0.9362
0.3014 0.9704 0.5638
0.3045 0.9740 0.0735
0.3602 0.3610 0.9317
0.3610 0.3602 0.4317
0.6390 0.6398 0.5683
0.6398 0.6390 0.0683
0.6955 0.0260 0.9265
0.6986 0.0296 0.4362
0.9704 0.3014 0.0638
0.9740 0.3045 0.5735
0.0052 0.9948 0.7500
0.3414 0.6586 0.2500
0.6586 0.3414 0.7500
0.9948 0.0052 0.2500
0.1754 0.5044 0.6729
0.4956 0.8246 0.8271
0.5044 0.1754 0.1729
0.8246 0.4956 0.3271
```

Energy above the lowest structure with this stoichiometry = 0.0 kJ/mol of formula units



# 19
VASP calculation (PBE) on an optimized crystal structure of RbNi2BH.

The structure in POSCAR format:
```
RbNi2BH
1.0
3.8588 0.0000 0.0000
0.0000 3.8588 0.0000
0.0000 0.0000 4.6430
Rb Ni B H
1 2 1 1
direct
0.0000 0.0000 0.0000
0.0000 0.5000 0.5000
0.5000 0.0000 0.5000
0.5000 0.5000 0.0000
0.5000 0.5000 0.5000
```



# 20
VASP calculation (PBE) on an optimized crystal structure of RbNiB2H8.

The structure in POSCAR format:
```
RbNiB2H8
1.0
2.3103 1.3338 6.5906
-2.3103 1.3338 6.5906
0.0000 -2.6677 6.5906
Rb Ni B H
1 1 2 8
direct
0.0000 0.0000 0.0000
0.5000 0.5000 0.5000
0.2376 0.2376 0.2376
0.7624 0.7624 0.7624
0.0786 0.6273 0.6440
0.2994 0.2994 0.2994
0.3560 0.9214 0.3727
0.3727 0.3560 0.9214
0.6273 0.6440 0.0786
0.6440 0.0786 0.6273
0.7006 0.7006 0.7006
0.9214 0.3727 0.3560
```



# 21
VASP calculation (PBE) on an optimized crystal structure of NiB2HRh.

The structure in POSCAR format:
```
NiB2HRh
1.0
3.8595 0.0000 0.0000
0.0000 3.8595 0.0000
0.0000 0.0000 2.9911
Ni B H Rh
1 2 1 1
direct
0.0000 0.0000 0.0000
0.0000 0.5000 0.0000
0.5000 0.0000 0.0000
0.0000 0.0000 0.5000
0.5000 0.5000 0.5000
```



# 22
VASP calculation (PBE) on an optimized crystal structure of NiBHRu2.

The structure in POSCAR format:
```
NiBHRu2
1.0
4.0398 0.0000 0.0000
0.0000 4.0398 0.0000
0.0000 0.0000 3.7017
Ni B H Ru
1 1 1 2
direct
0.0000 0.0000 0.0000
0.0000 0.0000 0.5000
0.5000 0.5000 0.0000
0.0000 0.5000 0.5000
0.5000 0.0000 0.5000
```



# 23
VASP calculation (PBE) on an optimized crystal structure of ScNi6BH.

The structure in POSCAR format:
```
ScNi6BH
1.0
-3.2810 3.3529 4.7308
3.2810 -3.3529 4.7308
3.2810 3.3529 -4.7308
Sc Ni B H
2 12 2 2
direct
0.4085 0.1585 0.2500
0.5915 0.8415 0.7500
0.0992 0.4301 0.2749
0.0992 0.8243 0.6691
0.1076 0.8576 0.2500
0.2955 0.5455 0.7500
0.3448 0.1757 0.7749
0.3448 0.5699 0.1691
0.6552 0.4301 0.8309
0.6552 0.8243 0.2251
0.7045 0.4545 0.2500
0.8924 0.1424 0.7500
0.9008 0.1757 0.3309
0.9008 0.5699 0.7251
0.0000 0.0000 0.5000
0.0000 0.5000 0.0000
0.0000 0.5000 0.5000
0.5000 0.5000 0.0000
```



How do the records compare in raw total energy? In the order shown, they have -6.837; -5.858; -4.999; -5.104; -5.870; -5.581; -4.686; -3.561; -4.500; -5.331; -5.353; -5.366; -3.663; -5.152; -5.149; -5.595; -4.696; -5.615; -3.119; -3.988; -5.374; -6.052; -5.749 eV per atom.